Compound: Y2ZnBr2
Source: Alexandria via LeMat-Bulk
Functional: PBE
Structure: relaxed

**Electronic total energy**: -4.04 eV per atom
**Magnetic moment**: 0.00 μB/atom
**Formation energy without anion corrections**: -0.533 eV/atom
**Energy relative to the lowest polymorph listed for this composition**: 84.6 meV per atom

The structure in CIF format:
```
data_Y2ZnBr2
_chemical_formula_sum 'Y4 Zn2 Br4'
_space_group_name_H-M_alt 'P 4/m b m'
_space_group_IT_number 127
_space_group_name_Hall '-P 4 2ab'
_cell_length_a 8.541
_cell_length_b 8.541
_cell_length_c 3.416
_cell_angle_alpha 90.00
_cell_angle_beta 90.00
_cell_angle_gamma 90.00
loop_
_atom_site_label
_atom_site_type_symbol
_atom_site_fract_x
_atom_site_fract_y
_atom_site_fract_z
_atom_site_occupancy
Y1 Y 0.173 0.327 0.000 1
Zn1 Zn 0.000 0.000 0.500 1
Br1 Br 0.128 0.628 0.500 1
```

---

Compound: Pm3Pr2Y6Ho
Source: Alexandria via LeMat-Bulk
Functional: PBE
Structure: relaxed

**Electronic total energy**: -5.59 eV per atom
**Magnetic moment**: 0.00 μB/atom

The structure in CIF format:
```
data_Pm3Pr2Y6Ho
_chemical_formula_sum 'Pm6 Pr4 Y12 Ho2'
_space_group_name_H-M_alt 'C 1 2/m 1'
_space_group_IT_number 12
_cell_length_a 6.264
_cell_length_b 10.844
_cell_length_c 11.900
_cell_angle_alpha 90.00
_cell_angle_beta 100.06
_cell_angle_gamma 90.00
loop_
_space_group_symop_operation_xyz
'x,y,z'
'-x,-y,-z'
'-x,y,-z'
'x,-y,z'
'x+1/2,y+1/2,z'
'-x+1/2,-y+1/2,-z'
'-x+1/2,y+1/2,-z'
'x+1/2,-y+1/2,z'
loop_
_atom_site_label
_atom_site_type_symbol
_atom_site_fract_x
_atom_site_fract_y
_atom_site_fract_z
_atom_site_occupancy
Pm1 Pm 0.000 0.000 0.000 1
Pm2 Pm 0.000 0.333 0.000 1
Pr1 Pr 0.000 0.166 0.500 1
Y1 Y 0.249 0.500 0.249 1
Y2 Y 0.250 0.166 0.250 1
Ho1 Ho 0.000 0.500 0.500 1
```

---

Compound: Tb14PmNd
Source: Alexandria via LeMat-Bulk
Functional: PBE
Structure: relaxed

**Electronic total energy**: -4.64 eV per atom
**Magnetic moment**: 0.00 μB/atom

The structure in CIF format:
```
data_Tb14PmNd
_chemical_formula_sum 'Tb28 Pm2 Nd2'
_space_group_name_H-M_alt 'A m m 2'
_space_group_IT_number 38
_cell_length_a 11.556
_cell_length_b 7.178
_cell_length_c 12.422
_cell_angle_alpha 90.00
_cell_angle_beta 90.00
_cell_angle_gamma 90.00
loop_
_space_group_symop_operation_xyz
'x,y,z'
'-x,-y,z'
'-x,y,z'
'x,-y,z'
'x,y+1/2,z+1/2'
'-x,-y+1/2,z+1/2'
'-x,y+1/2,z+1/2'
'x,-y+1/2,z+1/2'
loop_
_atom_site_label
_atom_site_type_symbol
_atom_site_fract_x
_atom_site_fract_y
_atom_site_fract_z
_atom_site_occupancy
Tb1 Tb 0.000 0.000 0.000 1
Tb2 Tb 0.000 0.000 0.500 1
Tb3 Tb 0.000 0.250 0.250 1
Tb4 Tb 0.248 0.250 0.083 1
Tb5 Tb 0.249 0.000 0.333 1
Tb6 Tb 0.249 0.000 0.834 1
Tb7 Tb 0.500 0.250 0.417 1
Pm1 Pm 0.500 0.000 0.167 1
Nd1 Nd 0.500 0.000 0.666 1
```

---

Compound: Li3CdN
Source: Alexandria via LeMat-Bulk
Functional: PBE
Structure: relaxed

**Electronic total energy**: -1.84 eV per atom
**Magnetic moment**: 0.00 μB/atom
**Formation energy without anion corrections**: 1.151 eV/atom
**Energy relative to the lowest polymorph listed for this composition**: 1359.8 meV per atom

The structure in CIF format:
```
data_Li3CdN
_chemical_formula_sum 'Li3 Cd1 N1'
_space_group_name_H-M_alt 'P m -3 m'
_space_group_IT_number 221
_space_group_name_Hall '-P 4 2 3'
_cell_length_a 4.764
_cell_length_b 4.764
_cell_length_c 4.764
_cell_angle_alpha 90.00
_cell_angle_beta 90.00
_cell_angle_gamma 90.00
loop_
_atom_site_label
_atom_site_type_symbol
_atom_site_fract_x
_atom_site_fract_y
_atom_site_fract_z
_atom_site_occupancy
Li1 Li 0.000 0.000 0.500 1
Cd1 Cd 0.000 0.000 0.000 1
N1 N 0.500 0.500 0.500 1
```

---

What is the formula in the second record?
Pm3Pr2Y6Ho

---

What is the magnetic moment in the fourth record?
0.00 μB/atom

---

Look up the electronic total energy of the fourth one.
-1.84 eV per atom